Entry 1:
Entry from the Alexandria database: Cr3HRh after structural relaxation (PBE).

Output
- D(E_F): 6.9 states/eV/cell
- Calculated density: 3.95 g/cm3
- Space group: Pm-3m, No. 221

Unit cell a=4.779 b=4.779 c=4.779 alpha=90.00 beta=90.00 gamma=90.00
Atoms (fractional coordinates):
Cr 0.000 0.000 0.500
Cr 0.000 0.500 0.000
H 0.500 0.500 0.500
Rh 0.000 0.000 0.000
Cr 0.500 0.000 0.000

Entry 2:
Entry from the Alexandria database: CrH2Rh after structural relaxation (PBE).

Output
- D(E_F): 10.6 states/eV/cell
- Calculated density: 8.70 g/cm3
- Space group: Pbcm, No. 57

Unit cell a=4.418 b=4.774 c=5.681 alpha=90.00 beta=90.00 gamma=90.00
Atoms (fractional coordinates):
Cr 0.250 0.419 0.615
Cr 0.750 0.081 0.615
Rh 0.750 0.572 0.861
H 0.500 0.750 0.594
Cr 0.250 0.919 0.385
H 0.500 0.750 0.146
H 0.000 0.750 0.146
Rh 0.750 0.072 0.139
Rh 0.250 0.428 0.139
H 0.000 0.250 0.854
Rh 0.250 0.928 0.861
Cr 0.750 0.581 0.385
H 0.000 0.750 0.594
H 0.500 0.250 0.854
H 0.000 0.250 0.406
H 0.500 0.250 0.406

no.,energy (Ry per atom),excess energy over the best structure of this formula in the dataset (meV/atom)
1,-0.4603,1604
2,-0.4378,0